SmMoI4O15 (PBE with a Hubbard U, relaxed); E = -222.2 eV per cell; magnetization = 1.99 μB per cell; SG = No. 4
1.0
14.113 0.000 0.000
0.000 7.079 0.011
0.000 2.948 6.609
Sm Mo I O
2 2 8 30
Cartesian
13.300 2.229 3.668
6.244 7.798 2.952
10.879 4.772 1.493
3.823 5.254 5.127
7.442 4.447 1.726
0.386 5.580 4.894
9.789 7.472 4.676
2.733 2.555 1.944
11.452 1.199 0.263
4.395 8.828 6.357
0.427 5.667 0.769
7.483 4.359 5.851
9.160 3.736 1.993
2.103 6.291 4.627
6.503 3.108 2.495
13.560 6.919 4.125
7.435 5.621 3.150
0.378 4.406 3.470
9.700 8.271 6.383
2.644 1.756 0.237
8.351 8.309 3.964
1.295 1.718 2.656
11.103 8.544 4.041
4.047 1.482 2.579
11.093 3.010 0.079
4.037 7.017 6.541
12.387 4.005 5.313
5.331 6.022 1.307
12.845 1.304 1.450
5.789 8.723 5.171
0.450 3.860 0.497
7.506 6.167 6.123
2.185 5.895 1.255
9.241 4.131 5.365
0.521 9.301 5.690
7.578 0.725 0.930
12.264 5.630 0.475
5.208 4.397 6.145
11.899 3.868 2.601
4.842 6.159 4.019
10.353 6.196 2.377
3.297 3.831 4.243